[1]
Computed, not measured: a relaxed Dy3TmTl4 crystal at the PBE level of DFT.

Output
VASP energy = -29.43 eV per formula unit
Energy above the lowest structure with this stoichiometry = 2.79 kcal/mol of atoms
Density of states at the Fermi level = 0.921 states/eV per atom
Energy of formation = -4.85 kcal/mol of atoms

Lattice parameters (Å, degrees): 9.972 6.714 6.613 90.00 90.00 90.00
Space group Pmna (No. 53)
Inequivalent atoms, fractional coordinates:
Dy  0.000  0.000  0.000 [2 per cell]
Dy  0.250  0.251  0.250 [4 per cell]
Tm  0.000  0.500  0.000 [2 per cell]
Tl  0.000  0.000  0.500 [2 per cell]
Tl  0.000  0.500  0.500 [2 per cell]
Tl  0.250  0.250  0.750 [4 per cell]

[2]
Computed, not measured: a relaxed DyTm2Tl crystal at the PBE level of DFT.

Output
VASP energy = -16.34 eV per formula unit
Energy above the lowest structure with this stoichiometry = 1.34 kcal/mol of atoms
Density of states at the Fermi level = 1.190 states/eV per atom
Energy of formation = -2.49 kcal/mol of atoms

Lattice parameters (Å, degrees): 3.5519 3.5519 32.5346 90.00 90.00 120.00
Space group R3m (No. 160, hexagonal axes)
Inequivalent atoms, fractional coordinates:
Dy  0.0000  0.0000  0.0000 [3 per cell]
Tm  0.0000  0.0000  0.2462 [3 per cell]
Tm  0.0000  0.0000  0.4202 [3 per cell]
Tl  0.0000  0.0000  0.8333 [3 per cell]

[3]
Computed, not measured: a relaxed Dy12Tm2Tl crystal at the PBE level of DFT.

Output
VASP energy = -62.27 eV per formula unit
Density of states at the Fermi level = 1.395 states/eV per atom
Energy of formation = 6.56 kcal/mol of atoms

Lattice parameters (Å, degrees): 6.526 6.526 23.206 90.00 90.00 90.00
Space group P4/nbm (No. 125, origin choice 2)
Inequivalent atoms, fractional coordinates:
Dy  0.002  0.502  0.093 [8 per cell]
Dy  0.082  0.582  0.565 [8 per cell]
Dy  0.250  0.250  0.200 [4 per cell]
Dy  0.250  0.250  0.330 [4 per cell]
Tm  0.250  0.750  0.258 [4 per cell]
Tl  0.250  0.750  0.000 [2 per cell]